P:
Computed, not measured: a geometry-optimized Li7Mg3Cd structure at the GGA-PBE level of DFT.

Size of the total moment = 0.000 Bohr magnetons per cell

```
data_Li7Mg3Cd
_cell_length_a 3.035
_cell_length_b 20.489
_cell_length_c 14.506
_cell_angle_alpha 90.00
_cell_angle_beta 90.00
_cell_angle_gamma 90.00
_symmetry_space_group_name_H-M 'C m c m'
_symmetry_Int_Tables_number 63
_symmetry_space_group_name_Hall '-C 2c 2'
loop_
_atom_site_label
_atom_site_type_symbol
_atom_site_fract_x
_atom_site_fract_y
_atom_site_fract_z
_atom_site_occupancy
Li1 Li 0.000 0.000 0.089 1
Li2 Li 0.000 0.108 0.250 1
Li3 Li 0.000 0.125 0.654 1
Li4 Li 0.000 0.242 0.578 1
Mg1 Mg 0.000 0.257 0.250 1
Mg2 Mg 0.000 0.378 0.535 1
Cd1 Cd 0.000 0.480 0.250 1
```

=====

Q:
Computed, not measured: a geometry-optimized Li7Mg3Cd structure at the GGA-PBE level of DFT.

Size of the total moment = 0.000 Bohr magnetons per cell

```
data_Li7Mg3Cd
_cell_length_a 9.671
_cell_length_b 6.911
_cell_length_c 7.227
_cell_angle_alpha 90.00
_cell_angle_beta 105.57
_cell_angle_gamma 90.00
_symmetry_space_group_name_H-M 'C 1 m 1'
_symmetry_Int_Tables_number 8
loop_
_symmetry_equiv_pos_as_xyz
'x,y,z'
'x,-y,z'
'x+1/2,y+1/2,z'
'x+1/2,-y+1/2,z'
loop_
_atom_site_label
_atom_site_type_symbol
_atom_site_fract_x
_atom_site_fract_y
_atom_site_fract_z
_atom_site_occupancy
Li1 Li 0.000 0.000 0.000 1
Li2 Li 0.077 0.500 0.004 1
Li3 Li 0.156 0.000 0.696 1
Li4 Li 0.298 0.213 0.042 1
Li5 Li 0.430 0.209 0.662 1
Mg1 Mg 0.109 0.255 0.350 1
Mg2 Mg 0.361 0.500 0.355 1
Cd1 Cd 0.221 0.500 0.711 1
```

=====

Least stable: P